[1]
! Tb2MnNi3P4 (PBE-GGA, optimized geometry); values from VASP
&SYSTEM
  ibrav = 0, nat = 10, ntyp = 4
/
ATOMIC_SPECIES
Tb 158.93 Tb.upf
Mn 54.94 Mn.upf
Ni 58.69 Ni.upf
P 30.97 P.upf
CELL_PARAMETERS angstrom
3.953 0.000 0.000
0.000 3.953 0.000
0.000 0.000 9.218
ATOMIC_POSITIONS crystal
Tb 0.000 0.500 0.243
Tb 0.500 0.000 0.757
Mn 0.000 0.000 0.500
Ni 0.000 0.500 0.881
Ni 0.500 0.000 0.119
Ni 0.500 0.500 0.500
P 0.000 0.000 0.000
P 0.000 0.500 0.632
P 0.500 0.000 0.368
P 0.500 0.500 0.000
! space-group type	P-4m2


[2]
! Th2MnNi3P4 (PBE-GGA, optimized geometry); values from VASP
&SYSTEM
  ibrav = 0, nat = 10, ntyp = 4
/
ATOMIC_SPECIES
Th 232.04 Th.upf
Mn 54.94 Mn.upf
Ni 58.69 Ni.upf
P 30.97 P.upf
CELL_PARAMETERS angstrom
4.059 0.000 0.000
0.000 4.059 0.000
0.000 0.000 9.236
ATOMIC_POSITIONS crystal
Th 0.000 0.500 0.250
Th 0.500 0.000 0.750
Mn 0.000 0.000 0.500
Ni 0.000 0.500 0.886
Ni 0.500 0.000 0.114
Ni 0.500 0.500 0.500
P 0.000 0.000 0.000
P 0.000 0.500 0.627
P 0.500 0.000 0.373
P 0.500 0.500 0.000
! space-group type	P-4m2


[3]
! Tm2MnNi3P4 (PBE-GGA, optimized geometry); values from VASP
&SYSTEM
  ibrav = 0, nat = 10, ntyp = 4
/
ATOMIC_SPECIES
Tm 168.93 Tm.upf
Mn 54.94 Mn.upf
Ni 58.69 Ni.upf
P 30.97 P.upf
CELL_PARAMETERS angstrom
3.915 0.000 0.000
0.000 3.915 0.000
0.000 0.000 9.181
ATOMIC_POSITIONS crystal
Tm 0.000 0.500 0.243
Tm 0.500 0.000 0.757
Mn 0.000 0.000 0.500
Ni 0.000 0.500 0.879
Ni 0.500 0.000 0.121
Ni 0.500 0.500 0.500
P 0.000 0.000 0.000
P 0.000 0.500 0.633
P 0.500 0.000 0.367
P 0.500 0.500 0.000
! space-group type	P-4m2


[4]
! U2MnNi3P4 (PBE-GGA, optimized geometry); values from VASP
&SYSTEM
  ibrav = 0, nat = 10, ntyp = 4
/
ATOMIC_SPECIES
U 238.03 U.upf
Mn 54.94 Mn.upf
Ni 58.69 Ni.upf
P 30.97 P.upf
CELL_PARAMETERS angstrom
3.994 0.000 0.000
0.000 3.994 0.000
0.000 0.000 8.931
ATOMIC_POSITIONS crystal
U 0.000 0.500 0.247
U 0.500 0.000 0.753
Mn 0.000 0.000 0.500
Ni 0.000 0.500 0.885
Ni 0.500 0.000 0.115
Ni 0.500 0.500 0.500
P 0.000 0.000 0.000
P 0.000 0.500 0.633
P 0.500 0.000 0.367
P 0.500 0.500 0.000
! space-group type	P-4m2


[5]
! U2MnNi12P3 (PBE-GGA, optimized geometry); values from VASP
&SYSTEM
  ibrav = 0, nat = 18, ntyp = 4
/
ATOMIC_SPECIES
U 238.03 U.upf
Mn 54.94 Mn.upf
Ni 58.69 Ni.upf
P 30.97 P.upf
CELL_PARAMETERS angstrom
4.136 2.388 4.015
-4.136 2.388 4.015
0.000 -4.775 4.015
ATOMIC_POSITIONS crystal
U 0.100 0.100 0.100
U 0.900 0.900 0.900
Mn 0.500 0.500 0.500
Ni 0.136 0.136 0.569
Ni 0.136 0.569 0.136
Ni 0.169 0.684 0.684
Ni 0.316 0.316 0.831
Ni 0.316 0.831 0.316
Ni 0.431 0.864 0.864
Ni 0.569 0.136 0.136
Ni 0.684 0.169 0.684
Ni 0.684 0.684 0.169
Ni 0.831 0.316 0.316
Ni 0.864 0.431 0.864
Ni 0.864 0.864 0.431
P 0.000 0.500 0.500
P 0.500 0.000 0.500
P 0.500 0.500 0.000
! space-group type	R-3m


[6]
! YMnNiP2 (PBE-GGA, optimized geometry); values from VASP
&SYSTEM
  ibrav = 0, nat = 5, ntyp = 4
/
ATOMIC_SPECIES
Y 88.91 Y.upf
Mn 54.94 Mn.upf
Ni 58.69 Ni.upf
P 30.97 P.upf
CELL_PARAMETERS angstrom
-1.911 1.911 4.877
1.911 -1.911 4.877
1.911 1.911 -4.877
ATOMIC_POSITIONS crystal
Y 0.000 0.000 0.000
Mn 0.750 0.250 0.500
Ni 0.250 0.750 0.500
P 0.373 0.373 0.000
P 0.627 0.627 0.000
! space-group type	I-4m2


[7]
! Y2MnNi4P3 (PBE-GGA, optimized geometry); values from VASP
&SYSTEM
  ibrav = 0, nat = 10, ntyp = 4
/
ATOMIC_SPECIES
Y 88.91 Y.upf
Mn 54.94 Mn.upf
Ni 58.69 Ni.upf
P 30.97 P.upf
CELL_PARAMETERS angstrom
3.870 0.000 0.000
0.000 3.870 0.000
0.000 0.000 9.694
ATOMIC_POSITIONS crystal
Y 0.000 0.500 0.241
Y 0.500 0.000 0.759
Mn 0.000 0.000 0.500
Ni 0.000 0.000 0.000
Ni 0.000 0.500 0.638
Ni 0.500 0.000 0.362
Ni 0.500 0.500 0.000
P 0.000 0.500 0.868
P 0.500 0.000 0.132
P 0.500 0.500 0.500
! space-group type	P-4m2


[8]
! ZrMnNiP2 (PBE-GGA, optimized geometry); values from VASP
&SYSTEM
  ibrav = 0, nat = 5, ntyp = 4
/
ATOMIC_SPECIES
Zr 91.22 Zr.upf
Mn 54.94 Mn.upf
Ni 58.69 Ni.upf
P 30.97 P.upf
CELL_PARAMETERS angstrom
-1.839 1.839 4.870
1.839 -1.839 4.870
1.839 1.839 -4.870
ATOMIC_POSITIONS crystal
Zr 0.000 0.000 0.000
Mn 0.750 0.250 0.500
Ni 0.250 0.750 0.500
P 0.380 0.380 0.000
P 0.620 0.620 0.000
! space-group type	I-4m2


[9]
! PaMnNi2 (PBE-GGA, optimized geometry); values from VASP
&SYSTEM
  ibrav = 0, nat = 16, ntyp = 3
/
ATOMIC_SPECIES
Pa 231.04 Pa.upf
Mn 54.94 Mn.upf
Ni 58.69 Ni.upf
CELL_PARAMETERS angstrom
4.707 0.000 0.000
0.000 7.613 0.000
0.000 0.000 7.655
ATOMIC_POSITIONS crystal
Pa 0.250 0.000 0.145
Pa 0.250 0.500 0.321
Pa 0.750 0.000 0.855
Pa 0.750 0.500 0.679
Mn 0.250 0.000 0.799
Mn 0.250 0.500 0.742
Mn 0.750 0.000 0.201
Mn 0.750 0.500 0.258
Ni 0.000 0.000 0.500
Ni 0.000 0.500 0.000
Ni 0.250 0.254 0.582
Ni 0.250 0.746 0.582
Ni 0.500 0.000 0.500
Ni 0.500 0.500 0.000
Ni 0.750 0.254 0.418
Ni 0.750 0.746 0.418
! space-group type	Pmma


[10]
! Pa2MnNi (PBE-GGA, optimized geometry); values from VASP
&SYSTEM
  ibrav = 0, nat = 4, ntyp = 3
/
ATOMIC_SPECIES
Pa 231.04 Pa.upf
Mn 54.94 Mn.upf
Ni 58.69 Ni.upf
CELL_PARAMETERS angstrom
3.217 0.000 0.000
0.000 3.217 0.000
0.000 0.000 7.113
ATOMIC_POSITIONS crystal
Pa 0.000 0.000 0.243
Pa 0.000 0.000 0.757
Mn 0.500 0.500 0.000
Ni 0.500 0.500 0.500
! space-group type	P4/mmm


[11]
! PaMnNi5 (PBE-GGA, optimized geometry); values from VASP
&SYSTEM
  ibrav = 0, nat = 28, ntyp = 3
/
ATOMIC_SPECIES
Pa 231.04 Pa.upf
Mn 54.94 Mn.upf
Ni 58.69 Ni.upf
CELL_PARAMETERS angstrom
7.944 0.000 0.000
0.000 4.799 0.000
0.000 0.000 9.899
ATOMIC_POSITIONS crystal
Pa 0.248 0.250 0.057
Pa 0.252 0.750 0.557
Pa 0.748 0.250 0.443
Pa 0.752 0.750 0.943
Mn 0.145 0.250 0.352
Mn 0.355 0.750 0.852
Mn 0.645 0.250 0.148
Mn 0.855 0.750 0.648
Ni 0.046 0.250 0.587
Ni 0.065 0.505 0.805
Ni 0.065 0.995 0.805
Ni 0.098 0.750 0.018
Ni 0.189 0.750 0.251
Ni 0.311 0.250 0.751
Ni 0.402 0.250 0.518
Ni 0.435 0.005 0.305
Ni 0.435 0.495 0.305
Ni 0.454 0.750 0.087
Ni 0.546 0.250 0.913
Ni 0.565 0.505 0.695
Ni 0.565 0.995 0.695
Ni 0.598 0.750 0.482
Ni 0.689 0.750 0.249
Ni 0.811 0.250 0.749
Ni 0.902 0.250 0.982
Ni 0.935 0.005 0.195
Ni 0.935 0.495 0.195
Ni 0.954 0.750 0.413
! space-group type	Pnma


[12]
! Pa3Mn2Ni7 (PBE-GGA, optimized geometry); values from VASP
&SYSTEM
  ibrav = 0, nat = 12, ntyp = 3
/
ATOMIC_SPECIES
Pa 231.04 Pa.upf
Mn 54.94 Mn.upf
Ni 58.69 Ni.upf
CELL_PARAMETERS angstrom
2.463 1.422 8.294
-2.463 1.422 8.294
0.000 -2.843 8.294
ATOMIC_POSITIONS crystal
Pa 0.000 0.000 0.000
Pa 0.138 0.138 0.138
Pa 0.862 0.862 0.862
Mn 0.333 0.333 0.333
Mn 0.667 0.667 0.667
Ni 0.083 0.583 0.583
Ni 0.417 0.417 0.917
Ni 0.417 0.917 0.417
Ni 0.500 0.500 0.500
Ni 0.583 0.083 0.583
Ni 0.583 0.583 0.083
Ni 0.917 0.417 0.417
! space-group type	R-3m


[13]
! Pa2Mn3Ni (PBE-GGA, optimized geometry); values from VASP
&SYSTEM
  ibrav = 0, nat = 6, ntyp = 3
/
ATOMIC_SPECIES
Pa 231.04 Pa.upf
Mn 54.94 Mn.upf
Ni 58.69 Ni.upf
CELL_PARAMETERS angstrom
2.543 1.468 4.140
-2.543 1.468 4.140
0.000 -2.936 4.140
ATOMIC_POSITIONS crystal
Pa 0.123 0.123 0.123
Pa 0.877 0.877 0.877
Mn 0.000 0.500 0.500
Mn 0.500 0.000 0.500
Mn 0.500 0.500 0.000
Ni 0.500 0.500 0.500
! space-group type	R-3m


[14]
! Pa3MnNi8 (PBE-GGA, optimized geometry); values from VASP
&SYSTEM
  ibrav = 0, nat = 12, ntyp = 3
/
ATOMIC_SPECIES
Pa 231.04 Pa.upf
Mn 54.94 Mn.upf
Ni 58.69 Ni.upf
CELL_PARAMETERS angstrom
2.473 1.428 8.197
-2.473 1.428 8.197
0.000 -2.855 8.197
ATOMIC_POSITIONS crystal
Pa 0.000 0.000 0.000
Pa 0.129 0.129 0.129
Pa 0.511 0.511 0.511
Mn 0.635 0.635 0.635
Ni 0.064 0.568 0.568
Ni 0.071 0.071 0.568
Ni 0.071 0.568 0.071
Ni 0.318 0.318 0.318
Ni 0.568 0.064 0.568
Ni 0.568 0.071 0.071
Ni 0.568 0.568 0.064
Ni 0.818 0.818 0.818
! space-group type	R3m


[15]
! PaMnNi2 (PBE-GGA, optimized geometry); values from VASP
&SYSTEM
  ibrav = 0, nat = 4, ntyp = 3
/
ATOMIC_SPECIES
Pa 231.04 Pa.upf
Mn 54.94 Mn.upf
Ni 58.69 Ni.upf
CELL_PARAMETERS angstrom
3.804 0.000 0.000
0.000 3.804 0.000
0.000 0.000 3.975
ATOMIC_POSITIONS crystal
Pa 0.000 0.000 0.000
Mn 0.500 0.500 0.000
Ni 0.000 0.500 0.500
Ni 0.500 0.000 0.500
! space-group type	P4/mmm


[16]
! Pa3Mn7Ni2 (PBE-GGA, optimized geometry); values from VASP
&SYSTEM
  ibrav = 0, nat = 12, ntyp = 3
/
ATOMIC_SPECIES
Pa 231.04 Pa.upf
Mn 54.94 Mn.upf
Ni 58.69 Ni.upf
CELL_PARAMETERS angstrom
2.392 1.381 8.692
-2.392 1.381 8.692
0.000 -2.763 8.692
ATOMIC_POSITIONS crystal
Pa 0.000 0.000 0.000
Pa 0.142 0.142 0.142
Pa 0.858 0.858 0.858
Mn 0.076 0.582 0.582
Mn 0.418 0.418 0.924
Mn 0.418 0.924 0.418
Mn 0.500 0.500 0.500
Mn 0.582 0.076 0.582
Mn 0.582 0.582 0.076
Mn 0.924 0.418 0.418
Ni 0.334 0.334 0.334
Ni 0.666 0.666 0.666
! space-group type	R-3m


[17]
! PaMn2Ni9 (PBE-GGA, optimized geometry); values from VASP
&SYSTEM
  ibrav = 0, nat = 12, ntyp = 3
/
ATOMIC_SPECIES
Pa 231.04 Pa.upf
Mn 54.94 Mn.upf
Ni 58.69 Ni.upf
CELL_PARAMETERS angstrom
2.393 1.382 7.794
-2.393 1.382 7.794
0.000 -2.764 7.794
ATOMIC_POSITIONS crystal
Pa 0.000 0.000 0.000
Mn 0.146 0.146 0.146
Mn 0.854 0.854 0.854
Ni 0.082 0.589 0.589
Ni 0.334 0.334 0.334
Ni 0.411 0.411 0.918
Ni 0.411 0.918 0.411
Ni 0.500 0.500 0.500
Ni 0.589 0.082 0.589
Ni 0.589 0.589 0.082
Ni 0.666 0.666 0.666
Ni 0.918 0.411 0.411
! space-group type	R-3m


[18]
! PaMnNi2 (PBE-GGA, optimized geometry); values from VASP
&SYSTEM
  ibrav = 0, nat = 4, ntyp = 3
/
ATOMIC_SPECIES
Pa 231.04 Pa.upf
Mn 54.94 Mn.upf
Ni 58.69 Ni.upf
CELL_PARAMETERS angstrom
3.449 0.000 0.000
0.000 3.449 0.000
0.000 0.000 5.114
ATOMIC_POSITIONS crystal
Pa 0.000 0.000 0.000
Mn 0.000 0.000 0.500
Ni 0.500 0.500 0.265
Ni 0.500 0.500 0.735
! space-group type	P4/mmm


[19]
! Pa2MnNi (PBE-GGA, optimized geometry); values from VASP
&SYSTEM
  ibrav = 0, nat = 4, ntyp = 3
/
ATOMIC_SPECIES
Pa 231.04 Pa.upf
Mn 54.94 Mn.upf
Ni 58.69 Ni.upf
CELL_PARAMETERS angstrom
1.534 0.886 9.147
-1.534 0.886 9.147
0.000 -1.772 9.147
ATOMIC_POSITIONS crystal
Pa 0.085 0.085 0.085
Pa 0.915 0.915 0.915
Mn 0.000 0.000 0.000
Ni 0.500 0.500 0.500
! space-group type	R-3m


[20]
! Pa2MnNi (PBE-GGA, optimized geometry); values from VASP
&SYSTEM
  ibrav = 0, nat = 16, ntyp = 3
/
ATOMIC_SPECIES
Pa 231.04 Pa.upf
Mn 54.94 Mn.upf
Ni 58.69 Ni.upf
CELL_PARAMETERS angstrom
6.766 0.000 0.000
0.000 5.017 0.000
-6.457 0.000 8.596
ATOMIC_POSITIONS crystal
Pa 0.171 0.153 0.338
Pa 0.171 0.347 0.838
Pa 0.272 0.665 0.600
Pa 0.272 0.835 0.100
Pa 0.728 0.165 0.900
Pa 0.728 0.335 0.400
Pa 0.829 0.653 0.162
Pa 0.829 0.847 0.662
Mn 0.208 0.129 0.611
Mn 0.208 0.371 0.111
Mn 0.792 0.629 0.889
Mn 0.792 0.871 0.389
Ni 0.390 0.668 0.382
Ni 0.390 0.832 0.882
Ni 0.610 0.168 0.118
Ni 0.610 0.332 0.618
! space-group type	P2_1/c


[21]
! PaMnNiPd (PBE-GGA, optimized geometry); values from VASP
&SYSTEM
  ibrav = 0, nat = 4, ntyp = 4
/
ATOMIC_SPECIES
Pa 231.04 Pa.upf
Mn 54.94 Mn.upf
Ni 58.69 Ni.upf
Pd 106.42 Pd.upf
CELL_PARAMETERS angstrom
0.000 3.189 3.189
3.189 0.000 3.189
3.189 3.189 0.000
ATOMIC_POSITIONS crystal
Pa 0.000 0.000 0.000
Mn 0.750 0.750 0.750
Ni 0.250 0.250 0.250
Pd 0.500 0.500 0.500
! space-group type	F-43m


[22]
! PaMnNiPt (PBE-GGA, optimized geometry); values from VASP
&SYSTEM
  ibrav = 0, nat = 4, ntyp = 4
/
ATOMIC_SPECIES
Pa 231.04 Pa.upf
Mn 54.94 Mn.upf
Ni 58.69 Ni.upf
Pt 195.08 Pt.upf
CELL_PARAMETERS angstrom
0.000 3.184 3.184
3.184 0.000 3.184
3.184 3.184 0.000
ATOMIC_POSITIONS crystal
Pa 0.000 0.000 0.000
Mn 0.250 0.250 0.250
Ni 0.750 0.750 0.750
Pt 0.500 0.500 0.500
! space-group type	F-43m


[23]
! PaMnNiRh (PBE-GGA, optimized geometry); values from VASP
&SYSTEM
  ibrav = 0, nat = 4, ntyp = 4
/
ATOMIC_SPECIES
Pa 231.04 Pa.upf
Mn 54.94 Mn.upf
Ni 58.69 Ni.upf
Rh 102.91 Rh.upf
CELL_PARAMETERS angstrom
0.000 3.240 3.240
3.240 0.000 3.240
3.240 3.240 0.000
ATOMIC_POSITIONS crystal
Pa 0.000 0.000 0.000
Mn 0.500 0.500 0.500
Ni 0.250 0.250 0.250
Rh 0.750 0.750 0.750
! space-group type	F-43m


| no. | formation energy (meV per atom) | calculated density (Mg/m³) | Fermi-level density of states (states/eV/f.u.) |
| --- | --- | --- | --- |
| 1 | -943 | 7.8 | 4.8 |
| 2 | -959 | 8.9 | 5.7 |
| 3 | -921 | 8.2 | 4.4 |
| 4 | -721 | 9.7 | 14.9 |
| 5 | -80 | 9.3 | 11.8 |
| 6 | -922 | 6.2 | 3.5 |
| 7 | -862 | 6.4 | 5.7 |
| 8 | -823 | 6.7 | 3.2 |
| 9 | 280 | 9.8 | 5.0 |
| 10 | -22 | 13.0 | 6.4 |
| 11 | -273 | 10.2 | 6.4 |
| 12 | -323 | 11.6 | 14.6 |
| 13 | -156 | 12.3 | 8.9 |
| 14 | -348 | 11.6 | 15.3 |
| 15 | -240 | 11.6 | 3.8 |
| 16 | -110 | 11.5 | 17.0 |
| 17 | -197 | 9.3 | 12.3 |
| 18 | -85 | 11.0 | 3.6 |
| 19 | 335 | 12.8 | 4.8 |
| 20 | -245 | 13.1 | 4.0 |
| 21 | -140 | 11.5 | 5.7 |
| 22 | -328 | 13.9 | 5.7 |
| 23 | -224 | 10.9 | 5.5 |